Record 1
This record from Alexandria describes an optimized crystal structure of NaPuSO5. The functional is GGA-PBE.

a = 6.1163 Å, b = 6.1163 Å, c = 7.8865 Å
α = 106.96°, β = 106.96°, γ = 98.12°
With the nearest neighbours (Å) after each atom.
Element x y z (fractional)
O  0.7148  0.6036  0.3679  1 S 1.50
O  0.3964  0.2852  0.1321  1 S 1.50
O  0.2852  0.3964  0.6321  1 S 1.50
O  0.7956  0.3054  0.1244  1 S 1.49
O  0.9099  0.0901  0.7500  2 Pu 2.14, 1 Na 2.22
O  0.6036  0.7148  0.8679  1 S 1.50
O  0.0901  0.9099  0.2500  2 Pu 2.14, 1 Na 2.22
O  0.2044  0.6946  0.8756  1 S 1.49
O  0.6946  0.2044  0.3756  1 S 1.49
O  0.3054  0.7956  0.6244  1 S 1.49
Pu  0.0000  0.0000  0.0000  2 O 2.14
Pu  0.0000  0.0000  0.5000  2 O 2.14
S  0.3472  0.6528  0.7500  4 O 1.49-1.50
S  0.6528  0.3472  0.2500  4 O 1.49-1.50
Na  0.3300  0.6700  0.2500  3 O 2.22-2.40
Na  0.6700  0.3300  0.7500  3 O 2.22-2.40

=====

Record 2
This record from Alexandria describes an optimized crystal structure of Na2PuSO6. The functional is GGA-PBE.

a = 4.2794 Å, b = 5.6130 Å, c = 5.6130 Å
α = 90.00°, β = 90.00°, γ = 90.00°
With the nearest neighbours (Å) after each atom.
Element x y z (fractional)
Na  0.0849  0.0000  0.5000  8 O 2.70-2.90
Na  0.0849  0.5000  0.0000  8 O 2.70-2.90
O  0.6559  0.2435  0.7565  1 S 1.95, 1 Pu 2.04
O  0.2584  0.0000  0.0000  1 S 1.48
O  0.6559  0.7565  0.7565  1 S 1.95, 1 Pu 2.04
O  0.6559  0.7565  0.2435  1 S 1.95, 1 Pu 2.04
O  0.1479  0.5000  0.5000  2 Pu 2.12-2.16
O  0.6559  0.2435  0.2435  1 S 1.95, 1 Pu 2.04
S  0.6032  0.0000  0.0000  1 O 1.48
Pu  0.6438  0.5000  0.5000  6 O 2.04-2.16

=====

Record 3
This record from Alexandria describes an optimized crystal structure of NaPuS2O8. The functional is GGA-PBE.

a = 5.4938 Å, b = 5.4938 Å, c = 7.1931 Å
α = 90.00°, β = 90.00°, γ = 120.00°
With the nearest neighbours (Å) after each atom.
Element x y z (fractional)
Na  0.0000  0.0000  0.5000  6 O 2.72
S  0.6667  0.3333  0.2876  4 O 1.45-1.51
S  0.3333  0.6667  0.7124  4 O 1.45-1.51
O  0.8142  0.6284  0.2118  1 S 1.51
O  0.8142  0.1858  0.2118  1 S 1.51
O  0.3716  0.1858  0.2118  1 S 1.51
O  0.1858  0.3716  0.7882  1 S 1.51
O  0.6284  0.8142  0.7882  1 S 1.51
O  0.3333  0.6667  0.5113  1 S 1.45
O  0.6667  0.3333  0.4887  1 S 1.45
O  0.1858  0.8142  0.7882  1 S 1.51
Pu  0.0000  0.0000  0.0000  6 O 2.33

=====

Record 4
This record from Alexandria describes an optimized crystal structure of Na2PuSO8. The functional is GGA-PBE.

a = 5.2659 Å, b = 5.2659 Å, c = 5.8195 Å
α = 90.00°, β = 90.00°, γ = 120.00°
With the nearest neighbours (Å) after each atom.
Element x y z (fractional)
O  0.3333  0.6667  0.5217  1 Na 2.23
O  0.6667  0.3333  0.4783  1 Na 2.23
O  0.8549  0.1451  0.8270  1 S 1.66
O  0.8549  0.7098  0.8270  1 S 1.66
O  0.2902  0.1451  0.8270  1 S 1.66
O  0.7098  0.8549  0.1730  1 S 1.66
O  0.1451  0.2902  0.1730  1 S 1.66
O  0.1451  0.8549  0.1730  1 S 1.66
Na  0.6667  0.3333  0.0943  4 O 2.23-2.32
Na  0.3333  0.6667  0.9057  4 O 2.23-2.32
S  0.0000  0.0000  0.0000  6 O 1.66
Pu  0.0000  0.0000  0.5000  6 O 2.32

=====

Record 5
This record from Alexandria describes an optimized crystal structure of NaPuSc2O6. The functional is GGA-PBE.

a = 5.5838 Å, b = 5.5838 Å, c = 5.8755 Å
α = 61.63°, β = 61.63°, γ = 60.00°
With the nearest neighbours (Å) after each atom.
Element x y z (fractional)
Sc  0.0135  0.0134  0.9597  6 O 2.08-2.21
Sc  0.5253  0.5253  0.4240  6 O 2.07-2.27
O  0.3591  0.7185  0.7584  2 Sc 2.08-2.27, 1 Pu 2.12
O  0.7185  0.1641  0.7584  2 Sc 2.08-2.27, 1 Pu 2.12
O  0.9048  0.6169  0.2313  2 Sc 2.07-2.21, 1 Pu 2.18
O  0.1641  0.3591  0.7584  2 Sc 2.08-2.27, 1 Pu 2.12
O  0.6168  0.2471  0.2313  2 Sc 2.07-2.21, 1 Pu 2.18
O  0.2471  0.9047  0.2312  2 Sc 2.07-2.21, 1 Pu 2.18
Pu  0.3167  0.3168  0.0497  6 O 2.12-2.18
Na  0.7957  0.7957  0.6129  6 O 2.36-2.57

=====

Record 6
This record from Alexandria describes an optimized crystal structure of NaPu2ScO8. The functional is GGA-PBE.

a = 4.8852 Å, b = 4.8852 Å, c = 6.8775 Å
α = 90.00°, β = 90.00°, γ = 87.69°
With the nearest neighbours (Å) after each atom.
Element x y z (fractional)
O  0.2137  0.7856  0.2318  1 Pu 1.94, 1 Sc 2.15
O  0.6978  0.6984  0.0000  1 Sc 2.13, 2 Pu 2.21
O  0.6749  0.6756  0.5000  2 Pu 2.12, 1 Na 2.29
O  0.7863  0.2144  0.2318  1 Pu 1.94, 1 Sc 2.15
O  0.3022  0.3016  0.0000  1 Sc 2.13, 2 Pu 2.21
O  0.2137  0.7856  0.7682  1 Pu 1.94, 1 Sc 2.15
O  0.3251  0.3244  0.5000  2 Pu 2.12, 1 Na 2.29
O  0.7863  0.2144  0.7682  1 Pu 1.94, 1 Sc 2.15
Pu  0.5000  0.5000  0.2489  4 O 1.94-2.12
Pu  0.5000  0.5000  0.7511  4 O 1.94-2.12
Sc  0.0000  0.0000  0.0000  6 O 2.13-2.15
Na  0.0000  0.0000  0.5000  6 O 2.29-2.35

=====

Fermi-level density of states, respectively: 0.770 0.310 0.761 1.183 1.068 0.297 states/eV/atom.
Energy relative to the elements, uncorrected, respectively: -2.005 -1.718 -1.846 -1.004 -2.948 -2.637 eV/atom.